[1]
# EuTiBi2 | the Alexandria database | PBE | optimized geometry
data_EuTiBi2
_chemical_formula_sum 'Eu1 Ti1 Bi2'
_symmetry_space_group_name_H-M 'P 4/m m m'
_symmetry_Int_Tables_number 123
_symmetry_space_group_name_Hall '-P 4 2'
_cell_length_a 3.622
_cell_length_b 3.622
_cell_length_c 8.280
_cell_angle_alpha 90.00
_cell_angle_beta 90.00
_cell_angle_gamma 90.00
loop_
_atom_site_label
_atom_site_type_symbol
_atom_site_fract_x
_atom_site_fract_y
_atom_site_fract_z
_atom_site_occupancy
Eu1 Eu 0.000 0.000 0.000 1
Ti1 Ti 0.000 0.000 0.500 1
Bi1 Bi 0.500 0.500 0.288 1
# - magnetization (μB per formula unit) = 8.34
# - E_tot (eV per cell) = -27.2
# - formation energy (kcal/mol of atoms) = -7.314

[2]
# EuTiBi2 | the Alexandria database | PBE | optimized geometry
data_EuTiBi2
_chemical_formula_sum 'Eu3 Ti3 Bi6'
_symmetry_space_group_name_H-M 'R -3 m'
_symmetry_Int_Tables_number 166
_symmetry_space_group_name_Hall '-R 3 2"'
_cell_length_a 3.7418
_cell_length_b 3.7418
_cell_length_c 31.6137
_cell_angle_alpha 90.00
_cell_angle_beta 90.00
_cell_angle_gamma 120.00
loop_
_atom_site_label
_atom_site_type_symbol
_atom_site_fract_x
_atom_site_fract_y
_atom_site_fract_z
_atom_site_occupancy
Eu1 Eu 0.0000 0.0000 0.0000 1
Ti1 Ti 0.0000 0.0000 0.5000 1
Bi1 Bi 0.0000 0.0000 0.1045 1
# - magnetization (μB per formula unit) = 7.91
# - E_tot (eV per cell) = -78.0
# - formation energy (kcal/mol of atoms) = -0.466